LiReTe2I after structural relaxation, computed with PBE-GGA.

Lattice parameters (Å, degrees): 6.1136 6.1136 4.7881 90.00 90.00 90.00
Closest atoms and distances in Å follow each position.
Positions (direct):
Li  0.0000  0.0000  0.0000  2 I 2.39
Re  0.5000  0.5000  0.0000  8 Te 3.88, 4 Li 4.32
Te  0.0000  0.5000  0.5000  2 I 3.06
Te  0.5000  0.0000  0.5000  2 I 3.06
I  0.0000  0.0000  0.5000  2 Li 2.39

- Excess energy over the best structure of this formula in the dataset: 1042 meV/atom
- SG: No. 123
- DOS at the Fermi energy: 0.72 states/eV per atom
- Total moment: 5.27 Bohr magnetons per cell
- Formation energy (no corrections): 6.94 eV per formula unit



LiZr2ReI after structural relaxation, computed with PBE-GGA.

Lattice parameters (Å, degrees): 5.0155 5.0155 5.3007 90.00 90.00 90.00
Closest atoms and distances in Å follow each position.
Positions (direct):
Li  0.0000  0.0000  0.0000  2 Re 2.65
Zr  0.0000  0.5000  0.5000  2 Re 2.51
Zr  0.5000  0.0000  0.5000  2 Re 2.51
Re  0.0000  0.0000  0.5000  4 Zr 2.51, 2 Li 2.65
I  0.5000  0.5000  0.0000  4 Li 3.55, 8 Zr 3.65

- SG: No. 123
- DOS at the Fermi energy: 1.08 states/eV per atom
- Total moment: 0.00 Bohr magnetons per cell
- Formation energy (no corrections): 2.93 eV per formula unit



LiRhI2 after structural relaxation, computed with PBE-GGA.

Lattice parameters (Å, degrees): 7.8237 7.8237 7.8237 133.91 133.91 67.23
Closest atoms and distances in Å follow each position.
Positions (direct):
Li  0.0000  0.0000  0.0000  4 I 2.78
Li  0.7500  0.2500  0.5000  4 I 2.78
Rh  0.2500  0.7500  0.5000  4 I 2.64
Rh  0.5000  0.5000  0.0000  4 I 2.64
I  0.1460  0.6250  0.0210  2 Rh 2.64, 2 Li 2.78
I  0.3750  0.3960  0.5210  2 Rh 2.64, 2 Li 2.78
I  0.6040  0.1250  0.9790  2 Rh 2.64, 2 Li 2.78
I  0.8750  0.8540  0.4790  2 Rh 2.64, 2 Li 2.78

- Excess energy over the best structure of this formula in the dataset: 11 meV/atom
- SG: No. 122
- DOS at the Fermi energy: 0.97 states/eV per atom
- Total moment: 0.05 Bohr magnetons per cell
- Formation energy (no corrections): -1.03 eV per formula unit



LiRhI after structural relaxation, computed with PBE-GGA.

Lattice parameters (Å, degrees): 4.5053 4.5053 7.3755 107.51 107.51 60.51
Closest atoms and distances in Å follow each position.
Positions (direct):
Li  0.2030  0.2030  0.1073  4 Rh 2.78-2.92, 3 I 2.87-2.90, 3 Li 3.00
Li  0.7970  0.7970  0.8927  4 Rh 2.78-2.92, 3 I 2.87-2.90, 3 Li 3.00
Rh  0.0673  0.0673  0.7049  3 I 2.61, 2 Li 2.78-2.89, 1 Rh 2.83
Rh  0.9326  0.9326  0.2951  3 I 2.61, 2 Li 2.78-2.89, 1 Rh 2.83
I  0.4055  0.4055  0.7138  3 Rh 2.61, 3 Li 2.87-2.90
I  0.5945  0.5945  0.2862  3 Rh 2.61, 3 Li 2.87-2.90

- SG: No. 12
- DOS at the Fermi energy: 0.96 states/eV per atom
- Total moment: 0.00 Bohr magnetons per cell
- Formation energy (no corrections): -0.32 eV per formula unit



Li2RhI4 after structural relaxation, computed with PBE-GGA.

Lattice parameters (Å, degrees): 8.2004 8.2004 8.2004 140.43 140.43 57.20
Closest atoms and distances in Å follow each position.
Positions (direct):
Li  0.1218  0.1218  0.0000  1 I 2.76
Li  0.8782  0.8782  0.0000  1 I 2.76
Rh  0.5000  0.5000  0.0000  6 I 2.69-2.78
I  0.0000  0.5000  0.5000  2 Rh 2.78
I  0.3132  0.3132  0.0000  1 Rh 2.69, 1 Li 2.76
I  0.5000  0.0000  0.5000  2 Rh 2.78
I  0.6868  0.6868  0.0000  1 Rh 2.69, 1 Li 2.76

- SG: No. 139
- DOS at the Fermi energy: 0.39 states/eV per atom
- Total moment: 0.00 Bohr magnetons per cell
- Formation energy (no corrections): -3.50 eV per formula unit



LiRh3I after structural relaxation, computed with PBE-GGA.

Lattice parameters (Å, degrees): 4.3259 4.3259 4.3259 90.00 90.00 90.00
Closest atoms and distances in Å follow each position.
Positions (direct):
Li  0.0000  0.0000  0.0000  6 Rh 2.16
Rh  0.0000  0.0000  0.5000  2 Li 2.16
Rh  0.0000  0.5000  0.0000  2 Li 2.16
Rh  0.5000  0.0000  0.0000  2 Li 2.16
I  0.5000  0.5000  0.5000  12 Rh 3.06

- Excess energy over the best structure of this formula in the dataset: 0 meV/atom
- SG: No. 221
- DOS at the Fermi energy: 1.03 states/eV per atom
- Total moment: 2.09 Bohr magnetons per cell
- Formation energy (no corrections): 4.15 eV per formula unit